Record 1
Here is a relaxed Au4Se5 crystal from Alexandria via LeMat-Bulk. Energies are from PBE.

Calculated values
uncorrected formation energy: 0.42 eV/atom
E: -53.57 eV/cell
total moment: 0.0 Bohr magnetons per cell

The structure in CIF format:
```
data_Au4Se5
_chemical_formula_sum 'Au8 Se10'
_symmetry_space_group_name_H-M 'I 4/m m m'
_symmetry_Int_Tables_number 139
_symmetry_space_group_name_Hall '-I 4 2'
_cell_length_a 10.7066
_cell_length_b 10.7066
_cell_length_c 3.2303
_cell_angle_alpha 90.00
_cell_angle_beta 90.00
_cell_angle_gamma 90.00
loop_
_atom_site_label
_atom_site_fract_x
_atom_site_fract_y
_atom_site_fract_z
Au1 0.0000 0.3428 0.0000
Se1 0.0000 0.0000 0.0000
Se2 0.1824 0.1824 0.5000
```

***

Record 2
Here is a relaxed Mg6CoB crystal from Alexandria via LeMat-Bulk. Energies are from PBE.

Calculated values
E: -45.98 eV/cell
total moment: 0.0 Bohr magnetons per cell

The structure in CIF format:
```
data_Mg6CoB
_chemical_formula_sum 'Mg12 Co2 B2'
_symmetry_space_group_name_H-M 'A m m 2'
_symmetry_Int_Tables_number 38
_symmetry_space_group_name_Hall 'A 2 -2'
_cell_length_a 3.1843
_cell_length_b 9.3369
_cell_length_c 10.1679
_cell_angle_alpha 90.00
_cell_angle_beta 90.00
_cell_angle_gamma 90.00
loop_
_atom_site_label
_atom_site_fract_x
_atom_site_fract_y
_atom_site_fract_z
Mg1 0.0000 0.0000 0.0000
Mg2 0.0000 0.1701 0.7212
Mg3 0.5000 0.0000 0.2609
Mg4 0.5000 0.2273 0.4678
Co1 0.0000 0.0000 0.5031
B1 0.5000 0.0000 0.6014
```

***

Record 3
Here is a relaxed In2NiP crystal from Alexandria via LeMat-Bulk. Energies are from PBE.

Calculated values
E: -31.09 eV/cell
total moment: 0.0 Bohr magnetons per cell

The structure in CIF format:
```
data_In2NiP
_chemical_formula_sum 'In4 Ni2 P2'
_symmetry_space_group_name_H-M 'C m m m'
_symmetry_Int_Tables_number 65
_symmetry_space_group_name_Hall '-C 2 2'
_cell_length_a 5.7527
_cell_length_b 7.5412
_cell_length_c 3.3617
_cell_angle_alpha 90.00
_cell_angle_beta 90.00
_cell_angle_gamma 90.00
loop_
_atom_site_label
_atom_site_fract_x
_atom_site_fract_y
_atom_site_fract_z
In1 0.2500 0.2500 0.0000
Ni1 0.0000 0.0000 0.5000
P1 0.0000 0.5000 0.5000
```

***

Record 4
Here is a relaxed PmLuBeZn crystal from Alexandria via LeMat-Bulk. Energies are from PBE.

Calculated values
E: -58.43 eV/cell
total moment: 0.0 Bohr magnetons per cell

The structure in CIF format:
```
data_PmLuBeZn
_chemical_formula_sum 'Pm4 Lu4 Be4 Zn4'
_symmetry_space_group_name_H-M 'F -4 3 m'
_symmetry_Int_Tables_number 216
_symmetry_space_group_name_Hall 'F -4 2 3'
_cell_length_a 7.0144
_cell_length_b 7.0144
_cell_length_c 7.0144
_cell_angle_alpha 90.00
_cell_angle_beta 90.00
_cell_angle_gamma 90.00
loop_
_atom_site_label
_atom_site_fract_x
_atom_site_fract_y
_atom_site_fract_z
Pm1 0.0000 0.0000 0.0000
Lu1 0.0000 0.0000 0.5000
Be1 0.2500 0.2500 0.7500
Zn1 0.2500 0.2500 0.2500
```